# 1
An optimized crystal structure of Dy8Er2Mg, computed with GGA-PBE.

a = 8.716 Å, b = 8.716 Å, c = 6.629 Å
α = 100.42°, β = 100.42°, γ = 44.21°
Sites, in units of the cell vectors:
Dy: 0.095 0.095 0.914
Dy: 0.158 0.678 0.613
Dy: 0.254 0.254 0.682
Dy: 0.322 0.842 0.387
Dy: 0.678 0.158 0.613
Dy: 0.746 0.746 0.318
Dy: 0.842 0.322 0.387
Dy: 0.905 0.905 0.086
Er: 0.312 0.312 0.203
Er: 0.688 0.688 0.797
Mg: 0.500 0.500 0.000

The value obtained for the formation energy is 163.6 meV/atom. For the density of states at the Fermi level, the calculation gives 16.90 states/eV per cell. As for the energy relative to the lowest polymorph listed for this composition: 0 meV per atom.

=====

# 2
An optimized crystal structure of NaYZr, computed with GGA-PBE.

a = 6.363 Å, b = 6.363 Å, c = 8.831 Å
α = 104.61°, β = 104.61°, γ = 30.59°
Sites, in units of the cell vectors:
Na: 0.000 0.000 0.000
Na: 0.723 0.723 0.948
Y: 0.390 0.390 0.318
Y: 0.664 0.664 0.379
Zr: 0.043 0.043 0.615
Zr: 0.335 0.335 0.657

The value obtained for the formation energy is 261.6 meV/atom. For the density of states at the Fermi level, the calculation gives 4.79 states/eV per cell. As for the energy relative to the lowest polymorph listed for this composition: 167 meV per atom.

=====

Across the entries above, total moment takes the values 0.000 0.000 μB per atom, respectively.